No. 1
Material: ThZn2I8
Method: DFT, GGA-PBE
State: relaxed Values from VASP.

Values from the calculation:
spin magnetization = 0.00 μB per cell
formation energy from raw total energies = -0.8170 eV/atom

```
&SYSTEM
  ibrav = 0, nat = 11, ntyp = 3
/
ATOMIC_SPECIES
Th 232.04 Th.upf
Zn 65.41 Zn.upf
I 126.90 I.upf
CELL_PARAMETERS angstrom
6.776 -5.609 0.000
6.776 5.609 0.000
-0.588 0.000 7.096
ATOMIC_POSITIONS angstrom
Th 0.000 0.000 0.000
Zn 2.405 0.000 4.686
Zn 10.559 0.000 2.411
I 5.307 3.482 1.688
I 2.416 0.000 1.941
I 7.657 3.482 5.409
I 4.793 0.000 5.435
I 8.171 0.000 1.661
I 5.307 -3.482 1.688
I 10.548 0.000 5.156
I 7.657 -3.482 5.409
```

No. 2
Material: ThZrI2
Method: DFT, GGA-PBE
State: relaxed Values from VASP.

Values from the calculation:
spin magnetization = 0.00 μB per cell
formation energy from raw total energies = -0.3031 eV/atom

```
&SYSTEM
  ibrav = 0, nat = 4, ntyp = 3
/
ATOMIC_SPECIES
Th 232.04 Th.upf
Zr 91.22 Zr.upf
I 126.90 I.upf
CELL_PARAMETERS angstrom
1.811 1.046 10.694
-1.811 1.046 10.694
0.000 -2.091 10.694
ATOMIC_POSITIONS angstrom
Th 0.000 0.000 0.000
Zr 0.000 0.000 16.040
I 0.000 0.000 3.247
I 0.000 0.000 28.834
```

No. 3
Material: TiI
Method: DFT, GGA-PBE
State: relaxed Values from VASP.

Values from the calculation:
spin magnetization = 0.00 μB per cell
formation energy from raw total energies = -0.0732 eV/atom

```
&SYSTEM
  ibrav = 0, nat = 4, ntyp = 2
/
ATOMIC_SPECIES
Ti 47.87 Ti.upf
I 126.90 I.upf
CELL_PARAMETERS angstrom
3.541 0.000 0.000
0.000 3.432 0.000
-0.021 0.000 10.010
ATOMIC_POSITIONS angstrom
Ti 0.874 0.858 4.154
Ti 2.645 2.574 5.856
I 0.877 2.574 2.014
I 2.642 0.858 7.996
```

No. 4
Material: TiI
Method: DFT, GGA-PBE
State: relaxed Values from VASP.

Values from the calculation:
spin magnetization = 0.00 μB per cell
formation energy from raw total energies = 0.0201 eV/atom

```
&SYSTEM
  ibrav = 0, nat = 8, ntyp = 2
/
ATOMIC_SPECIES
Ti 47.87 Ti.upf
I 126.90 I.upf
CELL_PARAMETERS angstrom
-6.026 6.026 1.834
6.026 -6.026 1.834
6.026 6.026 -1.834
ATOMIC_POSITIONS angstrom
Ti 3.393 2.120 0.000
Ti 3.906 -2.633 1.834
Ti 2.120 8.659 0.000
Ti 2.633 3.906 1.834
I 9.017 0.725 0.000
I 0.725 3.035 0.000
I 5.301 2.991 1.834
I -2.991 5.301 1.834
```

No. 5
Material: TiI
Method: DFT, GGA-PBE
State: relaxed Values from VASP.

Values from the calculation:
spin magnetization = 17.55 μB per cell
formation energy from raw total energies = 0.4998 eV/atom

```
&SYSTEM
  ibrav = 0, nat = 12, ntyp = 2
/
ATOMIC_SPECIES
Ti 47.87 Ti.upf
I 126.90 I.upf
CELL_PARAMETERS angstrom
7.973 0.000 0.000
0.000 7.973 0.000
0.000 0.000 7.973
ATOMIC_POSITIONS angstrom
Ti 0.000 1.993 3.986
Ti 0.000 5.980 3.986
Ti 1.993 3.986 0.000
Ti 3.986 0.000 1.993
Ti 3.986 0.000 5.980
Ti 5.980 3.986 0.000
I 0.000 3.986 1.993
I 0.000 3.986 5.980
I 1.993 0.000 3.986
I 3.986 1.993 0.000
I 3.986 5.980 0.000
I 5.980 0.000 3.986
```

No. 6
Material: TiI
Method: DFT, GGA-PBE
State: relaxed Values from VASP.

Values from the calculation:
spin magnetization = 0.00 μB per cell
formation energy from raw total energies = 0.0969 eV/atom

```
&SYSTEM
  ibrav = 0, nat = 16, ntyp = 2
/
ATOMIC_SPECIES
Ti 47.87 Ti.upf
I 126.90 I.upf
CELL_PARAMETERS angstrom
6.741 0.000 0.000
0.000 7.032 0.000
0.000 0.000 8.887
ATOMIC_POSITIONS angstrom
Ti 0.172 0.143 4.057
Ti 1.644 2.167 3.655
Ti 1.726 4.866 8.099
Ti 3.199 6.889 8.500
Ti 3.542 3.373 4.830
Ti 5.015 1.350 5.231
Ti 5.097 5.683 0.788
Ti 6.570 3.659 0.386
I 0.960 4.571 5.310
I 1.114 5.962 1.654
I 2.257 1.070 6.097
I 2.411 2.461 0.867
I 4.331 5.977 3.576
I 4.484 4.586 7.233
I 5.628 2.446 2.789
I 5.782 1.055 8.019
```

No. 7
Material: TiI
Method: DFT, GGA-PBE
State: relaxed Values from VASP.

Values from the calculation:
spin magnetization = 5.90 μB per cell
formation energy from raw total energies = -0.2298 eV/atom

```
&SYSTEM
  ibrav = 0, nat = 12, ntyp = 2
/
ATOMIC_SPECIES
Ti 47.87 Ti.upf
I 126.90 I.upf
CELL_PARAMETERS angstrom
3.650 0.000 0.000
0.000 13.573 0.000
0.000 0.000 6.588
ATOMIC_POSITIONS angstrom
Ti 0.913 2.029 0.009
Ti 0.913 4.758 0.009
Ti 0.913 10.180 1.610
Ti 2.738 3.393 4.978
Ti 2.738 8.816 6.578
Ti 2.738 11.544 6.578
I 0.913 3.393 2.555
I 0.913 7.348 1.649
I 0.913 13.012 1.649
I 2.738 0.561 4.939
I 2.738 6.226 4.939
I 2.738 10.180 4.032
```

No. 8
Material: TiI
Method: DFT, GGA-PBE
State: relaxed Values from VASP.

Values from the calculation:
spin magnetization = 2.53 μB per cell
formation energy from raw total energies = 0.3371 eV/atom

```
&SYSTEM
  ibrav = 0, nat = 2, ntyp = 2
/
ATOMIC_SPECIES
Ti 47.87 Ti.upf
I 126.90 I.upf
CELL_PARAMETERS angstrom
0.000 3.200 3.200
3.200 0.000 3.200
3.200 3.200 0.000
ATOMIC_POSITIONS angstrom
Ti 0.000 0.000 0.000
I 4.800 4.800 4.800
```

No. 9
Material: TiI
Method: DFT, GGA-PBE
State: relaxed Values from VASP.

Values from the calculation:
spin magnetization = 0.00 μB per cell
formation energy from raw total energies = 0.1452 eV/atom

```
&SYSTEM
  ibrav = 0, nat = 8, ntyp = 2
/
ATOMIC_SPECIES
Ti 47.87 Ti.upf
I 126.90 I.upf
CELL_PARAMETERS angstrom
8.284 0.000 0.000
0.000 8.284 0.000
0.000 0.000 3.755
ATOMIC_POSITIONS angstrom
Ti 0.701 0.701 0.000
Ti 3.441 4.843 1.878
Ti 4.843 3.441 1.878
Ti 7.583 7.583 0.000
I 1.901 6.383 0.000
I 2.241 2.241 1.878
I 6.043 6.043 1.878
I 6.383 1.901 0.000
```

No. 10
Material: TiI
Method: DFT, GGA-PBE
State: relaxed Values from VASP.

Values from the calculation:
spin magnetization = 0.00 μB per cell
formation energy from raw total energies = 0.0195 eV/atom

```
&SYSTEM
  ibrav = 0, nat = 8, ntyp = 2
/
ATOMIC_SPECIES
Ti 47.87 Ti.upf
I 126.90 I.upf
CELL_PARAMETERS angstrom
0.000 4.698 5.450
4.266 0.000 5.450
4.266 4.698 0.000
ATOMIC_POSITIONS angstrom
Ti 1.067 1.175 0.030
Ti 1.067 1.175 2.695
Ti 7.466 8.222 8.205
Ti 7.466 8.222 10.871
I 5.031 3.524 4.088
I 7.164 5.873 6.813
I 1.368 3.524 4.088
I 3.501 5.873 6.813
```

No. 11
Material: TiI
Method: DFT, GGA-PBE
State: relaxed Values from VASP.

Values from the calculation:
spin magnetization = 1.86 μB per cell
formation energy from raw total energies = 0.1236 eV/atom

```
&SYSTEM
  ibrav = 0, nat = 4, ntyp = 2
/
ATOMIC_SPECIES
Ti 47.87 Ti.upf
I 126.90 I.upf
CELL_PARAMETERS angstrom
3.546 0.000 0.000
-1.773 3.071 0.000
0.000 0.000 9.284
ATOMIC_POSITIONS angstrom
Ti 0.000 2.047 0.000
Ti 1.773 1.024 4.642
I 0.000 2.047 2.790
I 1.773 1.024 7.432
```

No. 12
Material: TiI
Method: DFT, GGA-PBE
State: relaxed Values from VASP.

Values from the calculation:
spin magnetization = 0.00 μB per cell
formation energy from raw total energies = -0.0265 eV/atom

```
&SYSTEM
  ibrav = 0, nat = 8, ntyp = 2
/
ATOMIC_SPECIES
Ti 47.87 Ti.upf
I 126.90 I.upf
CELL_PARAMETERS angstrom
-4.279 4.279 4.279
4.279 -4.279 4.279
4.279 4.279 -4.279
ATOMIC_POSITIONS angstrom
Ti 3.355 3.355 -3.355
Ti 3.355 -3.355 3.355
Ti 0.924 0.924 0.924
Ti -3.355 3.355 3.355
I 1.677 1.677 -1.677
I 1.677 -1.677 1.677
I -1.677 1.677 1.677
I 2.602 2.602 2.602
```

No. 13
Material: TiI
Method: DFT, GGA-PBE
State: relaxed Values from VASP.

Values from the calculation:
spin magnetization = 0.00 μB per cell
formation energy from raw total energies = -0.1048 eV/atom

```
&SYSTEM
  ibrav = 0, nat = 12, ntyp = 2
/
ATOMIC_SPECIES
Ti 47.87 Ti.upf
I 126.90 I.upf
CELL_PARAMETERS angstrom
10.252 0.000 0.000
-5.126 8.879 0.000
0.000 0.000 3.702
ATOMIC_POSITIONS angstrom
Ti -0.966 4.697 0.925
Ti -0.575 7.366 0.925
Ti 1.541 5.694 0.925
Ti 3.585 3.185 2.776
Ti 5.701 1.512 2.776
Ti 6.092 4.181 2.776
I -3.336 6.154 0.925
I 1.464 2.913 0.925
I 3.255 0.188 2.776
I 1.872 8.690 0.925
I 3.662 5.966 2.776
I 8.462 2.724 2.776
```

No. 14
Material: Ti2I13
Method: DFT, GGA-PBE
State: relaxed Values from VASP.

Values from the calculation:
spin magnetization = 0.00 μB per cell
formation energy from raw total energies = -0.4005 eV/atom

```
&SYSTEM
  ibrav = 0, nat = 15, ntyp = 2
/
ATOMIC_SPECIES
Ti 47.87 Ti.upf
I 126.90 I.upf
CELL_PARAMETERS angstrom
7.892 0.000 0.000
0.636 9.860 0.000
1.717 3.387 10.924
ATOMIC_POSITIONS angstrom
Ti 1.433 1.799 1.768
Ti 8.813 11.448 9.156
I 0.000 0.000 0.000
I 0.526 6.508 0.184
I 2.685 10.869 7.345
I 2.068 5.435 4.884
I 3.095 9.579 2.980
I 3.064 3.944 2.654
I 3.772 2.131 0.244
I 6.474 11.116 10.679
I 7.182 9.303 8.269
I 7.151 3.668 7.943
I 8.178 7.812 6.039
I 7.560 2.378 3.579
I 9.720 6.739 10.740
```

No. 15
Material: TiI
Method: DFT, GGA-PBE
State: relaxed Values from VASP.

Values from the calculation:
spin magnetization = 2.42 μB per cell
formation energy from raw total energies = 0.4010 eV/atom

```
&SYSTEM
  ibrav = 0, nat = 2, ntyp = 2
/
ATOMIC_SPECIES
Ti 47.87 Ti.upf
I 126.90 I.upf
CELL_PARAMETERS angstrom
0.000 2.940 2.940
2.940 0.000 2.940
2.940 2.940 0.000
ATOMIC_POSITIONS angstrom
Ti 0.000 0.000 0.000
I 2.940 2.940 2.940
```

No. 16
Material: TiI
Method: DFT, GGA-PBE
State: relaxed Values from VASP.

Values from the calculation:
spin magnetization = 0.87 μB per cell
formation energy from raw total energies = -0.3623 eV/atom

```
&SYSTEM
  ibrav = 0, nat = 8, ntyp = 2
/
ATOMIC_SPECIES
Ti 47.87 Ti.upf
I 126.90 I.upf
CELL_PARAMETERS angstrom
-6.194 6.194 1.859
6.194 -6.194 1.859
6.194 6.194 -1.859
ATOMIC_POSITIONS angstrom
Ti 5.136 0.984 0.000
Ti 5.210 -1.058 1.859
Ti 0.984 7.251 0.000
Ti 1.058 5.210 1.859
I 9.352 0.915 0.000
I 0.915 3.035 0.000
I 5.279 3.158 1.859
I -3.158 5.279 1.859
```

No. 17
Material: TiI
Method: DFT, GGA-PBE
State: relaxed Values from VASP.

Values from the calculation:
spin magnetization = 1.00 μB per cell
formation energy from raw total energies = -0.1346 eV/atom

```
&SYSTEM
  ibrav = 0, nat = 6, ntyp = 2
/
ATOMIC_SPECIES
Ti 47.87 Ti.upf
I 126.90 I.upf
CELL_PARAMETERS angstrom
3.637 0.000 0.000
0.000 6.083 3.437
0.000 -6.083 3.437
ATOMIC_POSITIONS angstrom
Ti 0.000 0.000 0.000
Ti 1.818 -3.946 3.701
Ti 1.818 3.946 3.701
I 0.000 -2.054 4.936
I 0.000 2.054 4.936
I 1.818 0.000 2.087
```

No. 18
Material: TiTlI2
Method: DFT, GGA-PBE
State: relaxed Values from VASP.

Values from the calculation:
spin magnetization = 3.35 μB per cell
formation energy from raw total energies = -0.2335 eV/atom
E above lowest polymorph = 116 meV/atom

```
&SYSTEM
  ibrav = 0, nat = 8, ntyp = 3
/
ATOMIC_SPECIES
Ti 47.87 Ti.upf
Tl 204.38 Tl.upf
I 126.90 I.upf
CELL_PARAMETERS angstrom
-4.986 4.986 3.012
4.986 -4.986 3.012
4.986 4.986 -3.012
ATOMIC_POSITIONS angstrom
Ti 0.000 0.000 0.000
Ti 0.000 4.986 1.506
Tl 4.986 0.000 1.506
Tl 0.000 0.000 3.012
I 1.068 2.493 0.753
I -2.493 3.918 2.259
I -1.068 7.479 0.753
I 2.493 6.054 2.259
```

No. 19
Material: TiTl2I
Method: DFT, GGA-PBE
State: relaxed Values from VASP.

Values from the calculation:
spin magnetization = 4.84 μB per cell
formation energy from raw total energies = 0.3489 eV/atom
E above lowest polymorph = 0 meV/atom

```
&SYSTEM
  ibrav = 0, nat = 8, ntyp = 3
/
ATOMIC_SPECIES
Ti 47.87 Ti.upf
Tl 204.38 Tl.upf
I 126.90 I.upf
CELL_PARAMETERS angstrom
-2.214 2.214 12.170
2.214 -2.214 12.170
2.214 2.214 -12.170
ATOMIC_POSITIONS angstrom
Ti 0.000 0.000 0.000
Ti 0.000 2.214 6.085
Tl 3.322 1.072 -3.043
Tl 1.072 1.107 3.043
Tl -1.107 1.142 9.128
Tl 1.142 1.107 15.213
I 2.214 0.000 6.085
I 0.000 0.000 12.170
```

No. 20
Material: TiTl2I5
Method: DFT, GGA-PBE
State: relaxed Values from VASP.

Values from the calculation:
spin magnetization = 1.00 μB per cell
formation energy from raw total energies = -0.6500 eV/atom

```
&SYSTEM
  ibrav = 0, nat = 8, ntyp = 3
/
ATOMIC_SPECIES
Ti 47.87 Ti.upf
Tl 204.38 Tl.upf
I 126.90 I.upf
CELL_PARAMETERS angstrom
7.214 -4.193 0.000
7.214 4.193 0.000
-4.872 0.000 6.826
ATOMIC_POSITIONS angstrom
Ti 0.000 0.000 0.000
Tl -0.489 0.000 4.805
Tl 9.166 0.000 1.386
I 3.978 2.280 5.640
I 6.634 2.280 1.936
I 7.432 0.000 5.316
I 3.978 -2.280 5.640
I 6.634 -2.280 1.936
```